Computed, not measured: a geometry-optimized SiTc2Os structure at the PBE-GGA level of DFT.

Structure (CIF):
```
data_SiTc2Os
_symmetry_space_group_name_H-M 'P 1'
_symmetry_Int_Tables_number 1
_cell_length_a 4.839
_cell_length_b 4.839
_cell_length_c 4.839
_cell_angle_alpha 134.97
_cell_angle_beta 134.97
_cell_angle_gamma 65.57
loop_
_symmetry_equiv_pos_as_xyz
'x,y,z'
loop_
_atom_site_label
_atom_site_fract_x
_atom_site_fract_y
_atom_site_fract_z
Si1 0.750 0.250 0.500
Tc1 0.500 0.500 0.000
Tc2 0.000 0.000 0.000
Os1 0.250 0.750 0.500
```

M_tot   0.0000 μB per atom
ΔE_f (raw)   -48.5 meV per atom
Space group   I4/mmm (139)
Crystal system   tetragonal
DOS(E_F)   3.55 states/eV/cell



Computed, not measured: a geometry-optimized SiTc2Os structure at the PBE-GGA level of DFT.

Structure (CIF):
```
data_SiTc2Os
_symmetry_space_group_name_H-M 'P 1'
_symmetry_Int_Tables_number 1
_cell_length_a 3.950
_cell_length_b 2.777
_cell_length_c 5.403
_cell_angle_alpha 70.99
_cell_angle_beta 90.00
_cell_angle_gamma 90.00
loop_
_symmetry_equiv_pos_as_xyz
'x,y,z'
loop_
_atom_site_label
_atom_site_fract_x
_atom_site_fract_y
_atom_site_fract_z
Tc1 0.000 0.575 0.512
Os1 0.500 0.250 0.250
Si1 0.500 0.750 0.750
Tc2 0.000 0.925 0.988
```

M_tot   0.0000 μB per atom
ΔE_f (raw)   -79.6 meV per atom
Space group   P2/m (10)
Crystal system   monoclinic
DOS(E_F)   3.08 states/eV/cell



Computed, not measured: a geometry-optimized SiTc2Os structure at the PBE-GGA level of DFT.

Structure (CIF):
```
data_SiTc2Os
_symmetry_space_group_name_H-M 'P 1'
_symmetry_Int_Tables_number 1
_cell_length_a 5.097
_cell_length_b 5.097
_cell_length_c 4.384
_cell_angle_alpha 64.53
_cell_angle_beta 64.53
_cell_angle_gamma 32.96
loop_
_symmetry_equiv_pos_as_xyz
'x,y,z'
loop_
_atom_site_label
_atom_site_fract_x
_atom_site_fract_y
_atom_site_fract_z
Tc1 0.974 0.974 0.026
Si1 0.248 0.248 0.252
Os1 0.525 0.525 0.475
Tc2 0.752 0.752 0.748
```

M_tot   0.0000 μB per atom
ΔE_f (raw)   -204.3 meV per atom
Space group   Imm2 (44)
Crystal system   orthorhombic
DOS(E_F)   3.46 states/eV/cell



Computed, not measured: a geometry-optimized SiTc2Os structure at the PBE-GGA level of DFT.

Structure (CIF):
```
data_SiTc2Os
_symmetry_space_group_name_H-M 'P 1'
_symmetry_Int_Tables_number 1
_cell_length_a 5.065
_cell_length_b 5.065
_cell_length_c 5.065
_cell_angle_alpha 146.40
_cell_angle_beta 129.26
_cell_angle_gamma 62.24
loop_
_symmetry_equiv_pos_as_xyz
'x,y,z'
loop_
_atom_site_label
_atom_site_fract_x
_atom_site_fract_y
_atom_site_fract_z
Tc1 0.523 0.523 0.000
Tc2 0.977 0.977 0.000
Si1 0.750 0.250 0.500
Os1 0.250 0.750 0.500
```

M_tot   0.0000 μB per atom
ΔE_f (raw)   -175.6 meV per atom
Space group   Immm (71)
Crystal system   orthorhombic
DOS(E_F)   2.77 states/eV/cell



Computed, not measured: a geometry-optimized SiTc2Os structure at the PBE-GGA level of DFT.

Structure (CIF):
```
data_SiTc2Os
_symmetry_space_group_name_H-M 'P 1'
_symmetry_Int_Tables_number 1
_cell_length_a 4.750
_cell_length_b 4.750
_cell_length_c 4.750
_cell_angle_alpha 133.10
_cell_angle_beta 133.10
_cell_angle_gamma 68.49
loop_
_symmetry_equiv_pos_as_xyz
'x,y,z'
loop_
_atom_site_label
_atom_site_fract_x
_atom_site_fract_y
_atom_site_fract_z
Si1 0.750 0.250 0.500
Tc1 0.250 0.750 0.500
Tc2 0.000 0.000 0.000
Os1 0.500 0.500 0.000
```

M_tot   0.0049 μB per atom
ΔE_f (raw)   17.1 meV per atom
Space group   I-4m2 (119)
Crystal system   tetragonal
DOS(E_F)   5.96 states/eV/cell



Computed, not measured: a geometry-optimized SiTc2Os structure at the PBE-GGA level of DFT.

Structure (CIF):
```
data_SiTc2Os
_symmetry_space_group_name_H-M 'P 1'
_symmetry_Int_Tables_number 1
_cell_length_a 4.736
_cell_length_b 4.736
_cell_length_c 4.496
_cell_angle_alpha 82.07
_cell_angle_beta 82.07
_cell_angle_gamma 34.22
loop_
_symmetry_equiv_pos_as_xyz
'x,y,z'
loop_
_atom_site_label
_atom_site_fract_x
_atom_site_fract_y
_atom_site_fract_z
Os1 0.750 0.750 0.750
Tc1 0.495 0.495 0.498
Si1 0.250 0.250 0.250
Tc2 0.005 0.005 0.002
```

M_tot   0.0000 μB per atom
ΔE_f (raw)   -33.1 meV per atom
Space group   C2/m (12)
Crystal system   monoclinic
DOS(E_F)   3.13 states/eV/cell



Computed, not measured: a geometry-optimized SiTc2Os structure at the PBE-GGA level of DFT.

Structure (CIF):
```
data_SiTc2Os
_symmetry_space_group_name_H-M 'P 1'
_symmetry_Int_Tables_number 1
_cell_length_a 2.738
_cell_length_b 2.738
_cell_length_c 8.450
_cell_angle_alpha 90.00
_cell_angle_beta 90.00
_cell_angle_gamma 115.94
loop_
_symmetry_equiv_pos_as_xyz
'x,y,z'
loop_
_atom_site_label
_atom_site_fract_x
_atom_site_fract_y
_atom_site_fract_z
Os1 0.500 0.500 0.250
Si1 0.500 0.500 0.750
Tc1 0.000 0.000 0.983
Tc2 0.000 0.000 0.517
```

M_tot   0.0001 μB per atom
ΔE_f (raw)   221.9 meV per atom
Space group   Cmmm (65)
Crystal system   orthorhombic
DOS(E_F)   4.12 states/eV/cell



Computed, not measured: a geometry-optimized SiTc2Os structure at the PBE-GGA level of DFT.

Structure (CIF):
```
data_SiTc2Os
_symmetry_space_group_name_H-M 'P 1'
_symmetry_Int_Tables_number 1
_cell_length_a 2.818
_cell_length_b 3.957
_cell_length_c 5.047
_cell_angle_alpha 90.00
_cell_angle_beta 90.00
_cell_angle_gamma 90.00
loop_
_symmetry_equiv_pos_as_xyz
'x,y,z'
loop_
_atom_site_label
_atom_site_fract_x
_atom_site_fract_y
_atom_site_fract_z
Tc1 0.000 0.000 0.511
Tc2 0.000 0.000 0.989
Si1 0.500 0.500 0.750
Os1 0.500 0.500 0.250
```

M_tot   0.0000 μB per atom
ΔE_f (raw)   -89.7 meV per atom
Space group   Pmmm (47)
Crystal system   orthorhombic
DOS(E_F)   3.06 states/eV/cell